1.
The following is a DFT calculation (PBE) of a geometry-optimized Fe2SbSe structure.

Lattice parameters (Å, degrees): 3.319 3.648 6.134 90.00 90.00 90.00
Space group Pmmm (No. 47)
Unique sites:
1 Fe 0.000 0.000 0.205
2 Sb 0.500 0.500 0.000
3 Se 0.500 0.000 0.500

Summary:
For the raw formation energy, the calculation gives 0.234 eV per atom. As for the density of states at the Fermi level: 5.10 states/eV per cell. The calculation puts the energy relative to the lowest polymorph listed for this composition at 269.6 meV/atom. The calculation puts the total DFT energy (no corrections) at -5.899 eV/atom.

2.
The following is a DFT calculation (PBE) of a geometry-optimized SrRhAu structure.

Lattice parameters (Å, degrees): 6.492 6.501 13.606 90.00 90.00 90.00
Space group Fmmm (No. 69)
Unique sites:
1 Sr 0.000 0.000 0.152
2 Rh 0.250 0.250 0.000
3 Au 0.000 0.000 0.389

Summary:
As for the energy of formation: -0.3466 eV/atom. As for the density of states at the Fermi level: 22.15 states/eV per cell. The calculation puts the energy relative to the lowest polymorph listed for this composition at 17.0 meV/atom. The calculation puts the total DFT energy (no corrections) at -4.450 eV/atom.

3.
The following is a DFT calculation (PBE) of a geometry-optimized H2PdN structure.

Lattice parameters (Å, degrees): 4.839 4.839 4.839 90.00 90.00 90.00
Space group Fm-3m (No. 225)
Unique sites:
1 H 0.250 0.250 0.250
2 Pd 0.000 0.000 0.000
3 N 0.000 0.000 0.500

Summary:
As for the density of states at the Fermi level: 4.11 states/eV per cell. The calculation puts the energy relative to the lowest polymorph listed for this composition at 638.1 meV/atom. The calculation puts the total DFT energy (no corrections) at -3.778 eV/atom.

4.
The following is a DFT calculation (PBE) of a geometry-optimized Ge2AsH2 structure.

Lattice parameters (Å, degrees): 3.449 3.449 11.012 90.00 90.00 90.00
Space group I4/mmm (No. 139)
Unique sites:
1 Ge 0.000 0.000 0.141
2 As 0.000 0.000 0.500
3 H 0.000 0.500 0.250

Summary:
As for the density of states at the Fermi level: 2.48 states/eV per cell. The calculation puts the energy relative to the lowest polymorph listed for this composition at 45.8 meV/atom. The calculation puts the total DFT energy (no corrections) at -3.670 eV/atom.

5.
The following is a DFT calculation (PBE) of a geometry-optimized SbHRh2Au structure.

Lattice parameters (Å, degrees): 4.199 4.199 3.972 90.00 90.00 90.00
Space group P4/mmm (No. 123)
Unique sites:
1 Sb 0.000 0.000 0.000
2 H 0.500 0.500 0.500
3 Rh 0.000 0.500 0.500
4 Au 0.500 0.500 0.000

Summary:
As for the density of states at the Fermi level: 3.14 states/eV per cell. The calculation puts the total DFT energy (no corrections) at -5.087 eV/atom.

6.
The following is a DFT calculation (PBE) of a geometry-optimized NdHo6Th2 structure.

Lattice parameters (Å, degrees): 3.5625 3.5625 26.3388 90.00 90.00 120.00
Space group P-6m2 (No. 187)
Unique sites:
1 Nd 0.0000 0.0000 0.0000
2 Ho 0.0000 0.0000 0.2185
3 Ho 0.0000 0.0000 0.4373
4 Ho 0.3333 0.6667 0.1122
5 Th 0.3333 0.6667 0.3303

Summary:
As for the energy of formation: 0.0777 eV/atom. As for the density of states at the Fermi level: 18.23 states/eV per cell. The calculation puts the energy relative to the lowest polymorph listed for this composition at 0.0 meV/atom. The calculation puts the total DFT energy (no corrections) at -5.153 eV/atom.